Entry from Alexandria via LeMat-Bulk: a PBEsol-optimized structure of BeAlFe3 (SCAN).

Output
magnetization	6.766	μB per formula unit
SG	Pm-3m
DFT total energy	-12.9635	eV/atom

Cell lengths 3.8488, 3.8488, 3.8488 Å; angles 90.00, 90.00, 90.00 degrees
With the nearest neighbours (Å) after each atom.
Fractional positions:
Be  0.0000  0.0000  0.0000  6 Fe 1.92
Al  0.5000  0.5000  0.5000  12 Fe 2.72
Fe  0.0000  0.0000  0.5000  2 Be 1.92
Fe  0.0000  0.5000  0.0000  2 Be 1.92
Fe  0.5000  0.0000  0.0000  2 Be 1.92

***

Entry from Alexandria via LeMat-Bulk: a PBEsol-optimized structure of BeAl2Fe (SCAN).

Output
magnetization	0.722	μB per formula unit
SG	Imm2
DFT total energy	-9.6804	eV/atom

Cell lengths 3.0646, 3.8436, 7.8202 Å; angles 90.00, 90.00, 90.00 degrees
With the nearest neighbours (Å) after each atom.
Fractional positions:
Be  0.0000  0.0000  0.0000  2 Fe 2.29, 6 Al 2.47-2.53
Be  0.5000  0.5000  0.5000  2 Fe 2.29, 6 Al 2.47-2.53
Al  0.0000  0.0000  0.4716  4 Be 2.47, 4 Fe 2.51-2.72, 4 Al 2.61-2.63
Al  0.0000  0.5000  0.2418  4 Fe 2.46, 4 Be 2.53-2.70, 4 Al 2.61-2.63
Al  0.5000  0.0000  0.7418  4 Fe 2.46, 4 Be 2.53-2.70, 4 Al 2.61-2.63
Al  0.5000  0.5000  0.9716  4 Be 2.47, 4 Fe 2.51-2.72, 4 Al 2.61-2.63
Fe  0.0000  0.5000  0.7179  2 Be 2.29, 6 Al 2.46-2.51
Fe  0.5000  0.0000  0.2179  2 Be 2.29, 6 Al 2.46-2.51

***

Entry from Alexandria via LeMat-Bulk: a PBEsol-optimized structure of Be4AlFe (SCAN).

Output
magnetization	0.983	μB per formula unit
SG	F-43m
DFT total energy	-7.4125	eV/atom

Cell lengths 4.2099, 4.2099, 4.2099 Å; angles 60.00, 60.00, 60.00 degrees
With the nearest neighbours (Å) after each atom.
Fractional positions:
Be  0.3767  0.3767  0.3767  6 Be 2.08-2.13
Be  0.3767  0.3767  0.8698  6 Be 2.08-2.13
Be  0.3767  0.8698  0.3767  6 Be 2.08-2.13
Be  0.8698  0.3767  0.3767  6 Be 2.08-2.13
Al  0.0000  0.0000  0.0000  12 Be 2.47, 4 Fe 2.58
Fe  0.7500  0.7500  0.7500  12 Be 2.47, 4 Al 2.58

***

Entry from Alexandria via LeMat-Bulk: a PBEsol-optimized structure of Be2AlFe2 (SCAN).

Output
magnetization	0.980	μB per formula unit
SG	P4/mbm
DFT total energy	-10.7841	eV/atom

Cell lengths 5.8114, 5.8114, 2.7888 Å; angles 90.00, 90.00, 90.00 degrees
With the nearest neighbours (Å) after each atom.
Fractional positions:
Be  0.1219  0.3781  0.0000  1 Be 2.00, 6 Fe 2.20-2.22
Be  0.3781  0.8781  0.0000  1 Be 2.00, 6 Fe 2.20-2.22
Be  0.6219  0.1219  0.0000  1 Be 2.00, 6 Fe 2.20-2.22
Be  0.8781  0.6219  0.0000  1 Be 2.00, 6 Fe 2.20-2.22
Al  0.0000  0.0000  0.0000  4 Be 2.31, 8 Fe 2.57
Al  0.5000  0.5000  0.0000  4 Be 2.31, 8 Fe 2.57
Fe  0.1713  0.6713  0.5000  6 Be 2.20-2.22
Fe  0.3287  0.1713  0.5000  6 Be 2.20-2.22
Fe  0.6713  0.8287  0.5000  6 Be 2.20-2.22
Fe  0.8287  0.3287  0.5000  6 Be 2.20-2.22

***

Respective ΔH_f (0 K) values: 0.335, -0.184, -0.197, -0.241 eV/atom.